DyGaFeCo3 | PBE | optimized geometry

Results
Final energy = -6.488 eV/atom
Total moment = 5.62 μB per formula unit
E_form = -0.254 eV/atom

Lattice parameters (Å, degrees): 4.898 3.998 5.027 90.00 118.41 90.00
Space group P2/m (No. 10)
Unique sites:
Dy (0.000, 0.000, 0.000)
Ga (0.500, 0.500, 0.000)
Fe (0.000, 0.500, 0.500)
Co (0.322, 0.000, 0.640)
Co (0.500, 0.500, 0.500)


Pb2WCl | PBE | optimized geometry

Results
Final energy = -5.011 eV/atom
Total moment = 0.00 μB per formula unit
Raw formation energy = 0.543 eV per atom

Lattice parameters (Å, degrees): 3.3098 3.3098 29.2102 90.00 90.00 120.00
Space group R-3m (No. 166, hexagonal axes)
Unique sites:
Pb (0.0000, 0.0000, 0.2490)
W (0.0000, 0.0000, 0.5000)
Cl (0.0000, 0.0000, 0.0000)


CdInW2 | PBE | optimized geometry

Results
Final energy = -6.679 eV/atom
Total moment = 0.00 μB per formula unit
E_form = 0.711 eV/atom

Lattice parameters (Å, degrees): 2.9448 2.9448 29.2193 90.00 90.00 120.00
Space group R-3m (No. 166, hexagonal axes)
Unique sites:
Cd (0.0000, 0.0000, 0.0000)
In (0.0000, 0.0000, 0.5000)
W (0.0000, 0.0000, 0.2495)


Al3Cu2Rh | PBE | optimized geometry

Results
Final energy = -4.975 eV/atom
Total moment = 0.00 μB per formula unit
E_form = -0.513 eV/atom

Lattice parameters (Å, degrees): 4.2161 4.2161 5.2231 90.00 90.00 120.00
Space group P-3m1 (No. 164)
Unique sites:
Al (0.0000, 0.0000, 0.0000)
Al (0.3333, 0.6667, 0.6710)
Cu (0.3333, 0.6667, 0.1773)
Rh (0.0000, 0.0000, 0.5000)


Tb8Pr4Nd3 | PBE | optimized geometry

Results
Final energy = -4.354 eV/atom
Total moment = 0.00 μB per formula unit
E_form = 0.344 eV/atom

Lattice parameters (Å, degrees): 13.599 12.962 6.867 90.00 120.28 90.00
Space group C2/m (No. 12)
Unique sites:
Tb (0.000, 0.141, 0.000)
Tb (0.000, 0.242, 0.500)
Tb (0.231, 0.000, 0.468)
Tb (0.232, 0.000, 0.992)
Pr (0.000, 0.500, 0.000)
Pr (0.000, 0.500, 0.500)
Pr (0.250, 0.250, 0.500)
Nd (0.000, 0.000, 0.500)
Nd (0.250, 0.250, 0.000)


MnOs3 | PBE | optimized geometry

Results
Final energy = -10.688 eV/atom
Total moment = 0.00 μB per formula unit
E_form = 0.027 eV/atom

Lattice parameters (Å, degrees): 2.7192 2.7192 8.4769 90.00 90.00 120.00
Space group P-6m2 (No. 187)
Unique sites:
Mn (0.0000, 0.0000, 0.0000)
Os (0.0000, 0.0000, 0.5000)
Os (0.3333, 0.6667, 0.2401)